Entry from the Alexandria database: Ta2TcTe2 after structural relaxation (PBE).

a = 7.322 Å, b = 7.322 Å, c = 3.784 Å
α = 90.00°, β = 90.00°, γ = 90.00°
Positions (direct):
Ta: 0.143 0.357 0.000
Ta: 0.357 0.857 0.000
Ta: 0.643 0.143 0.000
Ta: 0.857 0.643 0.000
Tc: 0.000 0.000 0.000
Tc: 0.500 0.500 0.000
Te: 0.158 0.658 0.500
Te: 0.342 0.158 0.500
Te: 0.658 0.842 0.500
Te: 0.842 0.342 0.500

Output
- Space group: P4/mbm, No. 127
- Calculated total energy: -7.5180 eV/atom
- Formation energy without anion corrections: 0.5530 eV per atom
- Total magnetization: 0.00 Bohr magnetons per cell
- Energy relative to the lowest polymorph listed for this composition: 0 meV/atom